1.
This record from Alexandria via LeMat-Bulk describes a relaxed As2PPt crystal. The functional is PBE.

Geometry as CIF:
```
data_As2PPt
_chemical_formula_sum 'As2 P1 Pt1'
_space_group_name_H-M_alt 'P 1 m 1'
_space_group_IT_number 6
_cell_length_a 4.570
_cell_length_b 3.607
_cell_length_c 4.589
_cell_angle_alpha 90.00
_cell_angle_beta 109.18
_cell_angle_gamma 90.00
loop_
_space_group_symop_operation_xyz
'x,y,z'
'x,-y,z'
loop_
_atom_site_label
_atom_site_fract_x
_atom_site_fract_y
_atom_site_fract_z
_atom_site_occupancy
As1 0.000 0.000 0.000 1
As2 0.256 0.500 0.688 1
P1 0.474 0.000 0.406 1
Pt1 0.731 0.500 0.213 1
```

Calculated values
Its calculated volume is 71.4 Å³ per cell. The formation energy comes out at -0.131 eV per atom.

2.
This record from Alexandria via LeMat-Bulk describes a relaxed LiMg2S crystal. The functional is PBE.

Geometry as CIF:
```
data_LiMg2S
_chemical_formula_sum 'Li4 Mg8 S4'
_space_group_name_H-M_alt 'I -4 2 d'
_space_group_IT_number 122
_space_group_name_Hall 'I -4 2bw'
_cell_length_a 8.707
_cell_length_b 8.707
_cell_length_c 4.819
_cell_angle_alpha 90.00
_cell_angle_beta 90.00
_cell_angle_gamma 90.00
loop_
_atom_site_label
_atom_site_fract_x
_atom_site_fract_y
_atom_site_fract_z
_atom_site_occupancy
Li1 0.000 0.000 0.000 1
Mg1 0.149 0.250 0.625 1
S1 0.000 0.000 0.500 1
```

Calculated values
The calculation puts the electronic total energy at -2.7969 eV per atom. Its calculated volume is 365.4 Å³ per cell.

Magnetization for every record listed, in sequence, given in μB/cell: 0.00; 0.00.